No. 1
The following is a DFT calculation (GGA-PBE) of crystalline NdTmNi at its relaxed geometry.

abc: 4.762 4.762 4.762
angles: 60.00 60.00 60.00
Element x y z (fractional)
Nd 0.250 0.250 0.250
Ni 0.000 0.000 0.000
Tm 0.750 0.750 0.750

ρ = 8.09 g/cm³
Energy relative to the elements = -0.122 eV/atom
ΔE to the lowest computed polymorph = 0 meV per atom

***

No. 2
The following is a DFT calculation (GGA-PBE) of crystalline NdUNi at its relaxed geometry.

abc: 4.640 4.640 4.640
angles: 60.00 60.00 60.00
Last column: magnetic moment on the atom in μB.
Element x y z (fractional)
U 0.250 0.250 0.250  0.07
Nd 0.750 0.750 0.750  0.01
Ni 0.000 0.000 0.000  0.01

ρ = 10.37 g/cm³
Energy relative to the elements = 0.565 eV/atom
ΔE to the lowest computed polymorph = 0 meV per atom

***

No. 3
The following is a DFT calculation (GGA-PBE) of crystalline NdYNi at its relaxed geometry.

abc: 4.807 4.807 4.807
angles: 60.00 60.00 60.00
Element x y z (fractional)
Ni 0.000 0.000 0.000
Y 0.750 0.750 0.750
Nd 0.250 0.250 0.250

ρ = 6.17 g/cm³
Energy relative to the elements = -0.086 eV/atom
ΔE to the lowest computed polymorph = 0 meV per atom